A plane-wave DFT calculation with PBE-GGA was carried out for a geometry-optimized Nd2SbH2 structure.

Output
space group: C2/m (12)
offset from the most stable computed form: 0.000 eV per atom

Geometry as POSCAR:
```
Nd2SbH2
1.0
12.8658 0.0000 0.0000
0.0000 4.0014 0.0000
-1.2418 0.0000 3.8069
Nd Sb H
4 2 4
Direct
0.1426 0.0000 0.1426
0.3574 0.5000 0.8574
0.6426 0.5000 0.1426
0.8574 0.0000 0.8574
0.0000 0.5000 0.5000
0.5000 0.0000 0.5000
0.2500 0.0000 0.7497
0.2500 0.5000 0.2503
0.7500 0.0000 0.2503
0.7500 0.5000 0.7497
```